The following is a DFT calculation (GGA-PBE) of a relaxed structure of Ba4Ir.

a b c (Å): 6.283 6.283 6.282
angles (deg): 90.00 90.00 90.00
Atoms (fractional coordinates):
Ba1 0.500 0.000 0.000
Ba2 0.500 0.500 0.500
Ba3 0.000 0.500 0.000
Ba4 0.000 0.000 0.500
Ir1 0.000 0.000 0.000

Output
Energy above the lowest structure with this stoichiometry ... 2.53 kcal/mol of atoms
Symmetry ... Pm-3m, No. 221

=====

The following is a DFT calculation (GGA-PBE) of a relaxed structure of ThOsPb.

a b c (Å): 4.974 4.974 4.974
angles (deg): 60.00 60.00 60.00
Atoms (fractional coordinates):
Pb1 0.750 0.750 0.750
Th1 0.000 0.000 0.000
Os1 0.250 0.250 0.250

Output
Raw total energy ... -19.80 eV for the cell shown
Symmetry ... F-43m, No. 216

=====

The following is a DFT calculation (GGA-PBE) of a relaxed structure of PmMgBe.

a b c (Å): 4.839 4.839 4.839
angles (deg): 60.00 60.00 60.00
Atoms (fractional coordinates):
Be1 0.250 0.250 0.250
Mg1 0.750 0.750 0.750
Pm1 0.000 0.000 0.000

Output
Energy above the lowest structure with this stoichiometry ... 4.84 kcal/mol of atoms
Symmetry ... F-43m, No. 216

=====

The following is a DFT calculation (GGA-PBE) of a relaxed structure of Sn2IrPb.

a b c (Å): 5.052 5.052 5.052
angles (deg): 60.00 60.00 60.00
Atoms (fractional coordinates):
Ir1 0.500 0.500 0.500
Sn1 0.250 0.250 0.250
Sn2 0.000 0.000 0.000
Pb1 0.750 0.750 0.750

Output
Raw total energy ... -19.12 eV for the cell shown
Symmetry ... F-43m, No. 216

=====

The following is a DFT calculation (GGA-PBE) of a relaxed structure of Be2NbAu2.

a b c (Å): 6.982 6.982 2.843
angles (deg): 90.00 90.00 90.00
Atoms (fractional coordinates):
Au1 0.834 0.334 0.500
Au2 0.334 0.166 0.500
Nb1 0.000 0.000 0.000
Au3 0.666 0.834 0.500
Be1 0.871 0.629 0.000
Au4 0.166 0.666 0.500
Be2 0.629 0.129 0.000
Be3 0.371 0.871 0.000
Nb2 0.500 0.500 0.000
Be4 0.129 0.371 0.000

Output
Energy above the lowest structure with this stoichiometry ... 0.00 kcal/mol of atoms
Symmetry ... P4/mbm, No. 127

=====

The following is a DFT calculation (GGA-PBE) of a relaxed structure of TbZrCu6.

a b c (Å): 4.471 5.816 4.748
angles (deg): 90.00 90.00 90.00
Atoms (fractional coordinates):
Zr1 0.000 0.500 0.852
Cu1 0.000 0.728 0.352
Cu2 0.500 0.273 0.662
Tb1 0.500 0.000 0.160
Cu3 0.000 0.272 0.352
Cu4 0.500 0.727 0.662
Cu5 0.500 0.500 0.194
Cu6 0.000 0.000 0.767

Output
Raw total energy ... -36.59 eV for the cell shown
Symmetry ... Pmm2, No. 25

=====

The following is a DFT calculation (GGA-PBE) of a relaxed structure of ThHgAs.

a b c (Å): 8.364 8.364 3.855
angles (deg): 90.00 90.00 120.00
Atoms (fractional coordinates):
Hg1 0.333 0.667 0.000
Th1 0.292 0.000 0.000
Hg2 0.000 0.000 0.500
Th2 0.708 0.708 0.000
As1 0.642 0.000 0.500
Hg3 0.667 0.333 0.000
As2 0.358 0.358 0.500
Th3 0.000 0.292 0.000
As3 0.000 0.642 0.500

Output
Energy above the lowest structure with this stoichiometry ... 2.03 kcal/mol of atoms
Symmetry ... P-62m, No. 189

=====

The following is a DFT calculation (GGA-PBE) of a relaxed structure of Er2CoSi4Pd.

a b c (Å): 4.051 8.557 8.557
angles (deg): 27.03 90.00 90.00
Atoms (fractional coordinates):
Si1 0.500 0.740 0.740
Si2 0.500 0.468 0.468
Co1 0.000 0.678 0.678
Er1 0.000 0.898 0.898
Er2 0.500 0.104 0.104
Si3 0.000 0.242 0.242
Si4 0.000 0.544 0.544
Pd1 0.500 0.326 0.326

Output
Raw total energy ... -49.44 eV for the cell shown
Symmetry ... Amm2, No. 38

=====

The following is a DFT calculation (GGA-PBE) of a relaxed structure of MoPdW2.

a b c (Å): 4.485 4.485 4.485
angles (deg): 60.00 60.00 60.00
Atoms (fractional coordinates):
Pd1 0.000 0.000 0.000
W1 0.500 0.500 0.500
W2 0.250 0.250 0.250
Mo1 0.750 0.750 0.750

Output
Raw total energy ... -40.70 eV for the cell shown
Symmetry ... F-43m, No. 216

=====

The following is a DFT calculation (GGA-PBE) of a relaxed structure of Bi2IrS4Br.

a b c (Å): 6.053 6.053 10.295
angles (deg): 114.93 114.93 36.36
Atoms (fractional coordinates):
Bi1 0.183 0.183 0.262
S1 0.157 0.157 0.749
S2 0.843 0.843 0.251
Ir1 0.000 0.000 0.500
Bi2 0.817 0.817 0.738
S3 0.385 0.385 0.533
Br1 0.500 0.500 0.000
S4 0.615 0.615 0.467

Output
Raw total energy ... -38.31 eV for the cell shown
Symmetry ... C2/m, No. 12

=====

The following is a DFT calculation (GGA-PBE) of a relaxed structure of Pr3Ni2Ge4Ir2.

a b c (Å): 12.660 12.660 12.660
angles (deg): 161.05 160.85 27.07
Atoms (fractional coordinates):
Pr1 0.146 0.646 0.500
Ir1 0.251 0.251 0.000
Ge1 0.306 0.806 0.500
Ge2 0.948 0.948 0.000
Pr2 0.500 0.500 0.000
Ir2 0.749 0.749 0.000
Ge3 0.052 0.052 0.000
Ni1 0.403 0.903 0.500
Ni2 0.597 0.097 0.500
Pr3 0.854 0.354 0.500
Ge4 0.694 0.194 0.500

Output
Raw total energy ... -70.14 eV for the cell shown
Symmetry ... Immm, No. 71

=====

The following is a DFT calculation (GGA-PBE) of a relaxed structure of DySn.

a b c (Å): 4.385 4.385 4.385
angles (deg): 60.00 60.00 60.00
Atoms (fractional coordinates):
Dy1 0.000 0.000 0.000
Sn1 0.500 0.500 0.500

Output
Raw total energy ... -9.59 eV for the cell shown
Symmetry ... Fm-3m, No. 225

=====

Total moment / μB per formula unit: 0.0 0.0 0.0 0.0 0.0 0.0 0.0 0.0 0.0 0.0 0.0 0.0